Record 1
Density functional theory data (PBE) for Zn7Cu4Au after structural relaxation.

Computed properties:
Magnetization: 0.0 μB/f.u.
DFT formation energy: 0.9 eV/f.u.

Structure (POSCAR):
```
Zn7Cu4Au
1.0
4.650 0.000 0.000
2.325 6.974 1.185
2.325 1.404 5.826
Zn Cu Au
7 4 1
direct
0.815 0.857 0.513 Zn
0.185 0.143 0.487 Zn
0.083 0.568 0.266 Zn
0.917 0.432 0.734 Zn
0.240 0.745 0.776 Zn
0.500 0.000 0.000 Zn
0.760 0.255 0.224 Zn
0.543 0.312 0.602 Cu
0.457 0.688 0.398 Cu
0.681 0.637 0.000 Cu
0.319 0.363 0.000 Cu
0.000 0.000 0.000 Au
```

Record 2
Density functional theory data (PBE) for Ca2Pm3Sn2 after structural relaxation.

Computed properties:
Magnetization: 0.4 μB/f.u.
DFT formation energy: -2.1 eV/f.u.

Structure (POSCAR):
```
Ca2Pm3Sn2
1.0
3.517 0.000 0.000
0.000 8.138 -1.092
-1.758 -3.526 8.479
Ca Pm Sn
2 3 2
direct
0.900 0.767 0.800 Ca
0.100 0.233 0.200 Ca
0.000 0.500 0.000 Pm
0.212 0.768 0.424 Pm
0.788 0.232 0.576 Pm
0.594 0.894 0.188 Sn
0.406 0.106 0.812 Sn
```

Record 3
Density functional theory data (PBE) for YSe2 after structural relaxation.

Computed properties:
Magnetization: 0.0 μB/f.u.
Formation energy without anion corrections: -1.305 eV per atom

Structure (POSCAR):
```
YSe2
1.0
-1.850 1.850 11.388
1.850 -1.850 11.388
1.850 1.850 -11.388
Y Se
2 4
direct
0.000 0.000 0.000 Y
0.750 0.250 0.500 Y
0.564 0.564 0.000 Se
0.186 0.686 0.500 Se
0.436 0.436 0.000 Se
0.314 0.814 0.500 Se
```

Record 4
Density functional theory data (PBE) for LaTa2Br after structural relaxation.

Computed properties:
Magnetization: 0.0 μB/f.u.
Formation energy without anion corrections: 0.356 eV per atom
Offset from the most stable computed form: 0.4299 eV per atom

Structure (POSCAR):
```
LaTa2Br
1.0
3.307 0.000 0.000
0.000 4.743 0.000
0.000 0.000 5.949
La Br Ta
1 1 2
direct
0.000 0.500 0.500 La
0.500 0.000 0.500 Br
0.000 0.000 0.000 Ta
0.500 0.500 0.000 Ta
```

Record 5
Density functional theory data (PBE) for KRb2ZrBr6 after structural relaxation.

Computed properties:
Magnetization: 1.0 μB/f.u.
Formation energy without anion corrections: -1.548 eV per atom
Offset from the most stable computed form: 0.0000 eV per atom

Structure (POSCAR):
```
KRb2ZrBr6
1.0
7.864 0.000 0.000
3.932 6.811 0.000
3.932 2.270 15.666
K Rb Zr Br
2 4 2 12
direct
0.584 0.584 0.247 K
0.416 0.416 0.753 K
0.857 0.857 0.428 Rb
0.143 0.143 0.572 Rb
0.690 0.690 0.930 Rb
0.310 0.310 0.070 Rb
0.000 0.000 0.000 Zr
0.500 0.500 0.500 Zr
0.861 0.369 0.400 Br
0.369 0.861 0.400 Br
0.369 0.369 0.400 Br
0.139 0.631 0.600 Br
0.631 0.139 0.600 Br
0.631 0.631 0.600 Br
0.709 0.196 0.899 Br
0.196 0.709 0.899 Br
0.196 0.196 0.899 Br
0.291 0.804 0.101 Br
0.804 0.291 0.101 Br
0.804 0.804 0.101 Br
```

Record 6
Density functional theory data (PBE) for Tm3TlGe after structural relaxation.

Computed properties:
Magnetization: 0.0 μB/f.u.
DFT formation energy: -2.0 eV/f.u.

Structure (POSCAR):
```
Tm3TlGe
1.0
4.525 0.000 0.000
2.262 5.905 -0.338
0.002 2.000 10.010
Tm Tl Ge
6 2 2
direct
0.235 0.098 0.356 Tm
0.489 0.591 0.119 Tm
0.199 0.170 0.941 Tm
0.734 0.101 0.634 Tm
0.453 0.663 0.703 Tm
0.955 0.660 0.426 Tm
0.777 0.015 0.151 Tl
0.911 0.746 0.908 Tl
0.103 0.362 0.672 Ge
0.585 0.399 0.387 Ge
```

| no. | total energy (eV for the cell shown) |
| --- | --- |
| 1 | -27.69 |
| 2 | -28.36 |
| 3 | -34.69 |
| 4 | -28.88 |
| 5 | -74.20 |
| 6 | -44.84 |